# In2FeSb

In2FeSb after structural relaxation (PBE-GGA, Alexandria via LeMat-Bulk). Values from VASP.

The structure in Quantum ESPRESSO input format:
```
&SYSTEM
  ibrav = 0, nat = 8, ntyp = 3
/
ATOMIC_SPECIES
In 114.82 In.upf
Fe 55.84 Fe.upf
Sb 121.76 Sb.upf
CELL_PARAMETERS angstrom
4.908 0.000 0.000
0.000 12.923 0.000
0.000 0.000 3.112
ATOMIC_POSITIONS angstrom
In 0.000 2.265 0.000
In 0.000 10.658 0.000
In 2.454 4.197 0.000
In 2.454 8.726 0.000
Fe 0.000 0.000 1.556
Fe 2.454 6.461 1.556
Sb 0.000 6.461 1.556
Sb 2.454 0.000 1.556
```

As for the total energy: -33.9 eV/cell.